1.
Material: Sm4ZnGa
Method: DFT, GGA-PBE
State: optimized geometry

Computed properties:
offset from the most stable computed form = 0.000 eV/atom
formation energy = -0.600 eV per formula unit
space-group type = Cm (8)
crystal system = monoclinic

POSCAR file:
```
Sm4ZnGa
1.0
-2.397 2.607 -0.849
-2.424 -3.269 4.618
5.100 5.901 3.724
Sm Zn Ga
4 1 1
Direct
0.872 0.745 0.704
0.136 0.273 0.411
0.364 0.728 0.092
0.627 0.254 0.793
0.065 0.131 0.042
0.435 0.870 0.458
```

=====

2.
Material: SiTe2OsN
Method: DFT, GGA-PBE
State: optimized geometry

Computed properties:
offset from the most stable computed form = 0.284 eV/atom
formation energy without anion corrections = 0.848 eV/atom
space-group type = P4/mmm (123)
crystal system = tetragonal

POSCAR file:
```
SiTe2OsN
1.0
-5.003 1.210 -1.169
-0.186 -4.044 -3.387
-1.035 -1.962 2.399
Te N Os Si
2 1 1 1
Direct
0.500 0.000 0.000
0.000 0.500 0.000
0.000 0.000 0.500
0.500 0.500 0.500
0.000 0.000 0.000
```

=====

3.
Material: PrBPt3
Method: DFT, GGA-PBE
State: optimized geometry

Computed properties:
formation energy = -4.155 eV per formula unit
space-group type = Cmcm (63)
crystal system = orthorhombic

POSCAR file:
```
PrBPt3
1.0
5.603 1.699 0.000
1.427 5.675 0.000
0.000 0.000 5.764
Pt B Pr
6 2 2
Direct
0.749 0.751 0.000
0.202 0.702 0.750
0.251 0.249 0.000
0.798 0.298 0.250
0.251 0.249 0.500
0.749 0.751 0.500
0.408 0.908 0.750
0.592 0.092 0.250
0.745 0.246 0.750
0.255 0.754 0.250
```

=====

4.
Material: BaNiP2
Method: DFT, GGA-PBE
State: optimized geometry

Computed properties:
formation energy = -0.083 eV per formula unit
space-group type = P4mm (99)
crystal system = tetragonal

POSCAR file:
```
BaNiP2
1.0
3.385 -0.015 0.000
0.015 3.385 0.000
0.000 0.000 6.847
P Ni Ba
2 1 1
Direct
0.000 0.000 0.971
0.500 0.500 0.177
0.500 0.500 0.864
0.000 0.000 0.488
```

=====

5.
Material: Y6AgHg
Method: DFT, GGA-PBE
State: optimized geometry

Computed properties:
formation energy = -1.516 eV per formula unit
space-group type = I4/mmm (139)
crystal system = tetragonal

POSCAR file:
```
Y6AgHg
1.0
4.884 0.000 1.471
-0.443 4.864 1.471
-0.226 -0.249 9.598
Y Hg Ag
6 1 1
Direct
0.251 0.251 0.499
0.749 0.749 0.501
0.108 0.608 0.783
0.392 0.892 0.217
0.608 0.108 0.783
0.892 0.392 0.217
0.500 0.500 0.000
0.000 0.000 0.000
```

=====

6.
Material: PaAgPt4
Method: DFT, GGA-PBE
State: optimized geometry

Computed properties:
formation energy = -4.436 eV per formula unit
space-group type = F-43m (216)
crystal system = cubic

POSCAR file:
```
PaAgPt4
1.0
-4.681 -1.515 -2.112
-2.327 -4.540 1.627
-4.458 0.188 2.960
Pt Pa Ag
4 1 1
Direct
0.624 0.624 0.624
0.127 0.624 0.624
0.624 0.127 0.624
0.624 0.624 0.127
0.000 0.000 0.000
0.250 0.250 0.250
```

=====

7.
Material: K2BaV
Method: DFT, GGA-PBE
State: optimized geometry

Computed properties:
offset from the most stable computed form = 0.000 eV/atom
formation energy = 3.425 eV per formula unit
space-group type = I-42d (122)
crystal system = tetragonal

POSCAR file:
```
K2BaV
1.0
5.225 0.000 0.000
0.000 5.225 0.000
2.612 2.612 14.511
K Ba V
4 2 2
Direct
0.150 0.625 0.250
0.600 0.125 0.250
0.875 0.850 0.750
0.375 0.400 0.750
0.000 0.000 0.000
0.750 0.250 0.500
0.250 0.750 0.500
0.500 0.500 0.000
```

=====

8.
Material: TaGa2Ru
Method: DFT, GGA-PBE
State: optimized geometry

Computed properties:
formation energy = 0.672 eV per formula unit
space-group type = I-42d (122)
crystal system = tetragonal

POSCAR file:
```
TaGa2Ru
1.0
7.034 0.000 0.000
0.000 7.034 0.000
3.517 3.517 2.698
Ru Ta Ga
2 2 4
Direct
0.250 0.750 0.500
0.500 0.500 0.000
0.750 0.250 0.500
0.000 0.000 0.000
0.145 0.625 0.250
0.605 0.125 0.250
0.875 0.855 0.750
0.375 0.395 0.750
```

=====

9.
Material: AcAl4Au8
Method: DFT, GGA-PBE
State: optimized geometry

Computed properties:
formation energy = -5.967 eV per formula unit
space-group type = I4/mmm (139)
crystal system = tetragonal

POSCAR file:
```
AcAl4Au8
1.0
-4.069 -1.475 -3.388
2.317 -4.110 -5.452
-3.105 -6.202 1.970
Al Au Ac
4 8 1
Direct
0.500 0.500 0.000
0.000 0.000 0.500
0.000 0.500 0.000
0.500 0.000 0.500
0.000 0.335 0.665
0.500 0.222 0.778
0.665 0.335 0.335
0.500 0.778 0.222
0.000 0.665 0.335
0.722 0.778 0.778
0.278 0.222 0.222
0.335 0.665 0.665
0.000 0.000 0.000
```

=====

no.,energy (eV/atom),magnetization (Bohr magnetons per cell)
1,-3.9629,0.000
2,-5.4044,0.000
3,-6.7469,0.000
4,-4.6517,0.000
5,-5.4317,0.000
6,-6.8244,0.000
7,-2.4527,9.915
8,-6.6276,0.000
9,-3.9435,0.000